[1]
{"formula": "BeAgIr", "functional": "GGA-PBE", "state": "optimized geometry", "e_tot_ev_per_atom": -4.95, "dos_at_fermi_per_ev_cell": 1.56, "de_polymorph_mev_per_atom": 256.9, "delta_e_f_ev_per_atom": 0.198, "lattice_angstrom": [[3.927, 0.000, 0.000], [1.963, 3.401, 0.000], [1.963, 1.134, 3.206]], "species": ["Be", "Ir", "Ag"], "frac_coords": [[0.750, 0.750, 0.750], [0.000, 0.000, 0.000], [0.500, 0.500, 0.500]]}

=====

[2]
{"formula": "BeAg2Ir2", "functional": "GGA-PBE", "state": "optimized geometry", "e_tot_ev_per_atom": -4.63, "dos_at_fermi_per_ev_cell": 4.16, "de_polymorph_mev_per_atom": 91.7, "delta_e_f_ev_per_atom": 0.800, "lattice_angstrom": [[3.500, 0.000, 0.000], [0.000, 3.500, 0.000], [1.750, 1.750, 7.234]], "species": ["Be", "Ir", "Ir", "Ag", "Ag"], "frac_coords": [[0.000, 0.000, 0.000], [0.750, 0.250, 0.500], [0.250, 0.750, 0.500], [0.409, 0.409, 0.182], [0.591, 0.591, 0.818]]}

=====

[3]
{"formula": "BeAgIr3", "functional": "GGA-PBE", "state": "optimized geometry", "e_tot_ev_per_atom": -6.08, "dos_at_fermi_per_ev_cell": 5.01, "de_polymorph_mev_per_atom": 0.0, "delta_e_f_ev_per_atom": 0.553, "lattice_angstrom": [[-1.265, 2.041, 3.424], [-1.673, -3.533, 1.487], [3.618, -0.919, 1.885]], "species": ["Be", "Ir", "Ir", "Ir", "Ag"], "frac_coords": [[0.000, 0.000, 0.000], [0.000, 0.500, 0.000], [0.000, 0.000, 0.500], [0.500, 0.000, 0.000], [0.500, 0.500, 0.500]]}

=====

[4]
{"formula": "BeAgIr2", "functional": "GGA-PBE", "state": "optimized geometry", "e_tot_ev_per_atom": -5.45, "dos_at_fermi_per_ev_cell": 7.37, "delta_e_f_ev_per_atom": 0.621, "lattice_angstrom": [[3.770, 0.000, 0.000], [0.000, 3.770, 0.000], [1.885, 1.885, 8.894]], "species": ["Be", "Be", "Ir", "Ir", "Ir", "Ir", "Ag", "Ag"], "frac_coords": [[0.500, 0.500, 0.000], [0.250, 0.750, 0.500], [0.580, 0.125, 0.250], [0.170, 0.625, 0.250], [0.375, 0.420, 0.750], [0.875, 0.830, 0.750], [0.000, 0.000, 0.000], [0.750, 0.250, 0.500]]}

=====

[5]
{"formula": "BeAgIr2", "functional": "GGA-PBE", "state": "optimized geometry", "e_tot_ev_per_atom": -5.97, "dos_at_fermi_per_ev_cell": 4.14, "delta_e_f_ev_per_atom": 0.110, "lattice_angstrom": [[3.925, 0.000, 0.000], [0.000, 2.790, 0.005], [0.000, 1.528, 5.135]], "species": ["Be", "Ir", "Ir", "Ag"], "frac_coords": [[0.500, 0.750, 0.750], [0.000, 0.894, 0.966], [0.000, 0.606, 0.534], [0.500, 0.250, 0.250]]}

=====

[6]
{"formula": "Be2AgIr", "functional": "GGA-PBE", "state": "optimized geometry", "e_tot_ev_per_atom": -4.89, "dos_at_fermi_per_ev_cell": 0.88, "delta_e_f_ev_per_atom": -0.100, "lattice_angstrom": [[2.900, 0.000, 0.000], [0.000, 2.900, 0.000], [0.000, 0.000, 5.797]], "species": ["Be", "Be", "Ir", "Ag"], "frac_coords": [[0.000, 0.000, 0.038], [0.500, 0.500, 0.247], [0.000, 0.000, 0.427], [0.500, 0.500, 0.788]]}

=====

[7]
{"formula": "BeAgIr", "functional": "GGA-PBE", "state": "optimized geometry", "e_tot_ev_per_atom": -5.20, "dos_at_fermi_per_ev_cell": 2.09, "de_polymorph_mev_per_atom": 0.0, "delta_e_f_ev_per_atom": -0.059, "lattice_angstrom": [[5.394, -0.004, 0.000], [3.893, 3.734, 0.000], [-4.644, -1.865, 2.014]], "species": ["Be", "Ir", "Ag"], "frac_coords": [[0.312, 0.312, 0.000], [0.700, 0.700, 0.000], [0.989, 0.989, 0.000]]}

=====

[8]
{"formula": "BeAgIr2", "functional": "GGA-PBE", "state": "optimized geometry", "e_tot_ev_per_atom": -6.07, "dos_at_fermi_per_ev_cell": 3.55, "delta_e_f_ev_per_atom": 0.000, "lattice_angstrom": [[2.804, 0.000, 0.000], [0.000, 2.804, 0.000], [0.000, 0.000, 6.931]], "species": ["Be", "Ir", "Ir", "Ag"], "frac_coords": [[0.500, 0.500, 0.750], [0.000, 0.000, 0.943], [0.000, 0.000, 0.557], [0.500, 0.500, 0.250]]}

=====

[9]
{"formula": "BeAgIr2", "functional": "GGA-PBE", "state": "optimized geometry", "e_tot_ev_per_atom": -5.93, "dos_at_fermi_per_ev_cell": 3.37, "delta_e_f_ev_per_atom": 0.150, "lattice_angstrom": [[3.498, 0.000, 0.000], [0.000, 2.720, -0.072], [0.000, 1.521, 5.990]], "species": ["Be", "Ir", "Ir", "Ag"], "frac_coords": [[0.500, 0.529, 0.817], [0.000, 0.961, 0.952], [0.500, 0.332, 0.212], [0.000, 0.678, 0.520]]}

=====

[10]
{"formula": "BeAgIr2", "functional": "GGA-PBE", "state": "optimized geometry", "e_tot_ev_per_atom": -5.86, "dos_at_fermi_per_ev_cell": 5.05, "delta_e_f_ev_per_atom": 0.214, "lattice_angstrom": [[2.724, 0.002, 0.000], [-1.315, 2.386, 0.000], [0.000, 0.000, 8.698]], "species": ["Be", "Ir", "Ir", "Ag"], "frac_coords": [[0.500, 0.500, 0.762], [0.000, 0.000, 0.968], [0.500, 0.500, 0.241], [0.000, 0.000, 0.528]]}

=====

[11]
{"formula": "BeAgIr2", "functional": "GGA-PBE", "state": "optimized geometry", "e_tot_ev_per_atom": -5.80, "dos_at_fermi_per_ev_cell": 3.64, "delta_e_f_ev_per_atom": 0.280, "lattice_angstrom": [[2.798, 0.000, 0.000], [0.000, 4.552, 0.000], [0.000, 0.000, 4.493]], "species": ["Be", "Ir", "Ir", "Ag"], "frac_coords": [[0.000, 0.500, 0.500], [0.000, 0.000, 0.000], [0.500, 0.500, 0.000], [0.500, 0.000, 0.500]]}

=====

[12]
{"formula": "BeAgIr2", "functional": "GGA-PBE", "state": "optimized geometry", "e_tot_ev_per_atom": -5.77, "dos_at_fermi_per_ev_cell": 3.68, "delta_e_f_ev_per_atom": 0.308, "lattice_angstrom": [[-1.783, 3.510, 3.432], [1.036, -4.846, 1.650], [2.080, 0.325, 1.767]], "species": ["Be", "Ir", "Ir", "Ag"], "frac_coords": [[0.000, 0.500, 0.500], [0.000, 0.000, 0.000], [0.500, 0.500, 0.000], [0.500, 0.000, 0.500]]}